1.
TaCd2 PBE optimized geometry; energy = -4.2619 eV per atom; energy of formation from the pure elements = 0.2991 eV/atom; mass density = 10.86 g cm⁻³; magnetization = 0.0 μB/cell
1.0
2.624 -7.768 0.000
2.624 7.768 0.000
0.000 0.000 3.044
Ta Cd
2 4
Cartesian
2.624 6.645 2.283
2.624 -6.645 0.761
2.624 3.992 0.761
2.624 1.316 2.283
2.624 -1.316 0.761
2.624 -3.992 2.283



2.
TaCd4 PBE optimized geometry; energy = -2.4300 eV per atom; energy of formation from the pure elements = 0.6726 eV/atom; E above lowest polymorph = 237 meV per atom; mass density = 9.63 g cm⁻³; magnetization = 0.0 μB/cell
1.0
-2.007 2.007 6.743
2.007 -2.007 6.743
2.007 2.007 -6.743
Ta Cd
1 4
Cartesian
0.000 0.000 0.000
2.007 0.000 3.372
0.000 0.000 5.441
0.000 0.000 8.046
0.000 2.007 3.372



3.
TaCd3 PBE optimized geometry; energy = -3.3047 eV per atom; energy of formation from the pure elements = 0.3448 eV/atom; mass density = 10.48 g cm⁻³; magnetization = 0.0 μB/cell
1.0
5.340 -1.451 0.000
5.340 1.451 0.000
-1.395 0.000 5.297
Ta Cd
1 3
Cartesian
0.000 0.000 0.000
1.632 0.000 4.019
4.643 0.000 2.648
7.654 0.000 1.278



4.
TaCd2 PBE optimized geometry; energy = -4.0811 eV per atom; energy of formation from the pure elements = 0.4798 eV/atom; mass density = 9.78 g cm⁻³; magnetization = 0.0 μB/cell
1.0
-3.690 3.690 2.531
3.690 -3.690 2.531
3.690 3.690 -2.531
Ta Cd
2 4
Cartesian
0.000 0.000 1.266
0.000 0.000 3.797
4.929 1.239 0.000
1.239 2.450 0.000
2.450 1.239 2.531
-1.239 2.450 2.531



5.
Ta4Cd PBE optimized geometry; energy = -8.8148 eV per atom; energy of formation from the pure elements = 0.8504 eV/atom; E above lowest polymorph = 646 meV per atom; mass density = 13.23 g cm⁻³; magnetization = 0.0 μB/cell
1.0
-1.974 1.974 6.734
1.974 -1.974 6.734
1.974 1.974 -6.734
Ta Cd
4 1
Cartesian
0.000 0.000 1.335
1.974 0.000 3.367
0.000 1.974 3.367
0.000 0.000 12.134
0.000 0.000 6.734



6.
TaCd3 PBE optimized geometry; energy = -3.2419 eV per atom; energy of formation from the pure elements = 0.4076 eV/atom; mass density = 10.67 g cm⁻³; magnetization = 0.9 μB/cell
1.0
-2.150 2.150 8.717
2.150 -2.150 8.717
2.150 2.150 -8.717
Ta Cd
2 6
Cartesian
0.000 0.000 2.093
0.000 0.000 15.341
2.150 0.000 0.000
2.150 0.000 4.359
0.000 0.000 6.481
0.000 2.150 0.000
0.000 0.000 10.954
0.000 2.150 4.359



7.
TaCd2 PBE optimized geometry; energy = -4.3159 eV per atom; energy of formation from the pure elements = 0.2450 eV/atom; mass density = 11.06 g cm⁻³; magnetization = 0.0 μB/cell
1.0
5.746 -1.494 0.000
5.746 1.494 0.000
-1.975 0.000 7.098
Ta Cd
2 4
Cartesian
0.000 0.000 0.000
6.736 0.000 2.088
3.038 0.000 0.273
2.330 0.000 4.614
5.404 0.000 4.965
9.848 0.000 2.620



8.
TaCd2 PBE optimized geometry; energy = -4.0720 eV per atom; energy of formation from the pure elements = 0.4890 eV/atom; mass density = 11.55 g cm⁻³; magnetization = 0.0 μB/cell
1.0
0.000 3.879 3.879
3.879 0.000 3.879
3.879 3.879 0.000
Ta Cd
2 4
Cartesian
0.970 0.970 0.970
6.788 6.788 6.788
3.879 1.939 1.939
1.939 3.879 1.939
1.939 1.939 3.879
3.879 3.879 3.879



9.
TaCd3 PBE optimized geometry; energy = -3.3205 eV per atom; energy of formation from the pure elements = 0.3290 eV/atom; mass density = 10.57 g cm⁻³; magnetization = 0.0 μB/cell
1.0
2.944 0.000 0.000
0.000 4.544 0.000
-1.125 0.000 6.083
Ta Cd
1 3
Cartesian
0.000 0.000 0.000
-0.562 0.000 3.042
0.451 2.272 4.630
1.368 2.272 1.453



10.
Ta4Cd3 PBE optimized geometry; energy = -6.8425 eV per atom; energy of formation from the pure elements = 0.3226 eV/atom; mass density = 12.70 g cm⁻³; magnetization = 0.0 μB/cell
1.0
-1.725 1.725 11.648
1.725 -1.725 11.648
1.725 1.725 -11.648
Ta Cd
4 3
Cartesian
0.000 0.000 1.780
0.000 0.000 8.564
0.000 0.000 14.733
0.000 0.000 21.517
0.000 0.000 4.952
0.000 0.000 11.648
0.000 0.000 18.344



11.
TaCd3 PBE optimized geometry; energy = -3.3727 eV per atom; energy of formation from the pure elements = 0.2768 eV/atom; mass density = 10.40 g cm⁻³; magnetization = 0.0 μB/cell
1.0
3.844 -4.797 0.000
3.844 4.797 0.000
0.000 0.000 4.485
Ta Cd
2 6
Cartesian
3.844 3.948 3.364
3.844 -3.948 1.121
2.245 1.041 3.364
3.844 1.911 1.121
2.245 -1.041 1.121
5.444 1.041 3.364
3.844 -1.911 3.364
5.444 -1.041 1.121



12.
TaCd2 PBE optimized geometry; energy = -3.9579 eV per atom; energy of formation from the pure elements = 0.6030 eV/atom; mass density = 10.73 g cm⁻³; magnetization = 0.0 μB/cell
1.0
8.805 0.000 0.000
-4.403 7.626 0.000
0.000 0.000 2.805
Ta Cd
3 6
Cartesian
0.000 0.000 0.000
0.000 5.084 1.403
4.403 2.542 1.403
-1.291 2.236 1.403
-2.693 4.665 0.000
2.581 0.000 1.403
1.709 2.961 0.000
5.386 0.000 0.000
3.112 5.390 1.403



13.
TaCd2 PBE optimized geometry; energy = -4.2930 eV per atom; energy of formation from the pure elements = 0.2679 eV/atom; mass density = 11.01 g cm⁻³; magnetization = 0.0 μB/cell
1.0
-1.454 1.454 14.477
1.454 -1.454 14.477
1.454 1.454 -14.477
Ta Cd
2 4
Cartesian
1.454 0.727 3.619
0.000 0.727 10.857
1.454 -0.727 8.577
1.454 -0.727 13.137
0.000 2.180 1.339
0.000 2.180 5.899



14.
TaCd2 PBE optimized geometry; energy = -4.2943 eV per atom; energy of formation from the pure elements = 0.2666 eV/atom; mass density = 11.25 g cm⁻³; magnetization = 0.0 μB/cell
1.0
2.995 0.000 0.000
-1.498 2.594 0.000
0.000 0.000 7.710
Ta Cd
1 2
Cartesian
0.000 0.000 0.000
0.000 1.729 2.533
1.498 0.865 5.178



15.
TaCd3 PBE optimized geometry; energy = -3.3842 eV per atom; energy of formation from the pure elements = 0.2653 eV/atom; mass density = 10.44 g cm⁻³; magnetization = 0.0 μB/cell
1.0
5.013 0.000 0.000
0.000 10.132 0.000
0.000 0.000 6.489
Ta Cd
4 12
Cartesian
0.638 2.533 1.051
1.868 7.599 4.296
3.144 2.533 2.193
4.375 7.599 5.437
0.496 2.533 4.116
1.188 5.086 5.713
1.188 10.113 5.713
1.318 0.019 2.469
1.318 5.047 2.469
2.010 7.599 0.872
3.003 2.533 5.617
3.695 5.086 4.020
3.695 10.113 4.020
3.824 0.019 0.776
3.824 5.047 0.776
4.516 7.599 2.372



16.
Ta5Cd3 PBE optimized geometry; energy = -7.2429 eV per atom; energy of formation from the pure elements = 0.5082 eV/atom; E above lowest polymorph = 209 meV per atom; mass density = 13.15 g cm⁻³; magnetization = 0.0 μB/cell
1.0
8.348 0.000 0.000
-4.174 7.229 0.000
0.000 0.000 5.199
Ta Cd
10 6
Cartesian
-0.818 1.417 1.300
-3.356 5.813 3.899
1.636 0.000 1.300
0.818 1.417 3.899
0.000 4.819 0.000
0.000 4.819 2.599
4.174 2.410 0.000
4.174 2.410 2.599
6.712 0.000 3.899
3.356 5.813 1.300
-1.692 2.930 3.899
-2.482 4.299 1.300
3.384 0.000 3.899
1.692 2.930 1.300
4.964 0.000 1.300
2.482 4.299 3.899



17.
TaCd2 PBE optimized geometry; energy = -3.8789 eV per atom; energy of formation from the pure elements = 0.6821 eV/atom; mass density = 11.24 g cm⁻³; magnetization = 0.0 μB/cell
1.0
4.877 0.000 0.000
-2.438 4.223 0.000
0.000 0.000 5.819
Ta Cd
2 4
Cartesian
0.000 2.815 1.455
2.438 1.408 4.364
0.000 0.000 0.000
0.000 0.000 2.910
0.000 2.815 4.364
2.438 1.408 1.455



18.
Ta8Cd PBE optimized geometry; energy = -10.5374 eV per atom; energy of formation from the pure elements = 0.0999 eV/atom; mass density = 15.54 g cm⁻³; magnetization = 0.0 μB/cell
1.0
-4.938 4.938 1.709
4.938 -4.938 1.709
4.938 4.938 -1.709
Ta Cd
8 1
Cartesian
3.290 0.000 0.000
6.587 0.000 0.000
3.260 3.260 0.000
1.678 -1.678 1.709
0.000 3.290 0.000
0.000 6.587 0.000
-1.678 1.678 1.709
1.678 1.678 1.709
0.000 0.000 0.000



19.
TaCd3 PBE optimized geometry; energy = -3.1495 eV per atom; energy of formation from the pure elements = 0.5000 eV/atom; mass density = 10.56 g cm⁻³; magnetization = 0.1 μB/cell
1.0
-2.143 2.143 4.434
2.143 -2.143 4.434
2.143 2.143 -4.434
Ta Cd
1 3
Cartesian
0.000 0.000 0.000
2.143 0.000 2.217
0.000 0.000 4.434
0.000 2.143 2.217



20.
TaCd2 PBE optimized geometry; energy = -4.3459 eV per atom; energy of formation from the pure elements = 0.2150 eV/atom; mass density = 11.39 g cm⁻³; magnetization = 0.0 μB/cell
1.0
-1.461 1.461 6.929
1.461 -1.461 6.929
1.461 1.461 -6.929
Ta Cd
1 2
Cartesian
0.000 0.000 0.000
0.000 0.000 4.671
0.000 0.000 9.187



21.
TaCd3 PBE optimized geometry; energy = -3.4639 eV per atom; energy of formation from the pure elements = 0.1856 eV/atom; mass density = 10.58 g cm⁻³; magnetization = 0.0 μB/cell
1.0
3.042 0.000 0.000
-1.521 2.634 0.000
0.000 0.000 10.153
Ta Cd
1 3
Cartesian
0.000 0.000 0.000
0.000 0.000 5.077
1.521 0.878 2.496
1.521 0.878 7.658



22.
TaCd2 PBE optimized geometry; energy = -3.2205 eV per atom; energy of formation from the pure elements = 1.3405 eV/atom; mass density = 8.67 g cm⁻³; magnetization = 0.0 μB/cell
1.0
6.773 0.000 0.000
0.000 6.773 0.000
0.000 0.000 6.773
Ta Cd
4 8
Cartesian
0.000 0.000 0.000
0.000 3.387 3.387
3.387 0.000 3.387
3.387 3.387 0.000
0.909 4.296 5.864
0.909 5.864 2.477
2.477 0.909 5.864
2.477 2.477 2.477
4.296 4.296 4.296
4.296 5.864 0.909
5.864 0.909 4.296
5.864 2.477 0.909



23.
Ta4Cd PBE optimized geometry; energy = -7.4052 eV per atom; energy of formation from the pure elements = 2.2600 eV/atom; E above lowest polymorph = 2056 meV per atom; mass density = 11.84 g cm⁻³; magnetization = 0.0 μB/cell
1.0
4.895 0.000 0.000
0.000 4.895 0.000
0.000 0.000 4.895
Ta Cd
4 1
Cartesian
0.000 0.000 0.000
0.000 2.448 2.448
2.448 0.000 2.448
2.448 2.448 0.000
2.448 2.448 2.448



24.
TaCd3 PBE optimized geometry; energy = -2.3421 eV per atom; energy of formation from the pure elements = 1.3074 eV/atom; mass density = 4.74 g cm⁻³; magnetization = 3.3 μB/cell
1.0
5.661 0.000 0.000
0.000 5.661 0.000
0.000 0.000 5.661
Ta Cd
1 3
Cartesian
0.000 0.000 0.000
0.000 0.000 2.831
0.000 2.831 0.000
2.831 0.000 0.000



25.
TaCd3 PBE optimized geometry; energy = -3.4101 eV per atom; energy of formation from the pure elements = 0.2394 eV/atom; mass density = 10.41 g cm⁻³; magnetization = 0.0 μB/cell
1.0
1.511 0.873 10.448
-1.511 0.873 10.448
0.000 -1.745 10.448
Ta Cd
1 3
Cartesian
0.000 0.000 0.000
0.000 0.000 7.947
0.000 0.000 15.672
0.000 0.000 23.396



26.
Ta2Cd3 PBE optimized geometry; energy = -4.9746 eV per atom; energy of formation from the pure elements = 0.3155 eV/atom; mass density = 11.77 g cm⁻³; magnetization = 0.0 μB/cell
1.0
1.485 0.857 12.916
-1.485 0.857 12.916
0.000 -1.715 12.916
Ta Cd
2 3
Cartesian
0.000 0.000 3.893
0.000 0.000 34.856
0.000 0.000 11.582
0.000 0.000 19.374
0.000 0.000 27.167